[1]
Compound: CrCdAg2
Source: Alexandria via LeMat-Bulk
Functional: PBE-GGA
Structure: optimized geometry

The calculation puts the theoretical density at 7785 kg/m3. The total energy comes out at -57.15 eV per cell. For the density of states at the Fermi level, the calculation gives 6.033 states/eV/cell. The calculation puts the energy of formation from the pure elements at 188 kJ/mol of formula units.

It has space group I-42d (No. 122), with a = 7.569 Å, b = 7.569 Å, c = 5.662 Å, α = 90.00°, β = 90.00° and γ = 90.00°. The inequivalent atoms are Cr at (0.000, 0.000, 0.000), Cd at (0.000, 0.000, 0.500) and Ag at (0.243, 0.750, 0.125).

=====

[2]
Compound: ZrTaSiH2
Source: Alexandria via LeMat-Bulk
Functional: PBE-GGA
Structure: optimized geometry

The calculation puts the theoretical density at 7268 kg/m3. The total energy comes out at -32.27 eV per cell. For the density of states at the Fermi level, the calculation gives 4.154 states/eV/cell.

It has space group P4/mmm (No. 123), with a = 3.720 Å, b = 3.720 Å, c = 4.990 Å, α = 90.00°, β = 90.00° and γ = 90.00°. The inequivalent atoms are Zr at (0.000, 0.000, 0.000), Ta at (0.500, 0.500, 0.500), Si at (0.500, 0.500, 0.000) and H at (0.000, 0.500, 0.500).

=====

[3]
Compound: Pm2SmCd2Sn2
Source: Alexandria via LeMat-Bulk
Functional: PBE-GGA
Structure: optimized geometry

The calculation puts the theoretical density at 7661 kg/m3. The total energy comes out at -79.10 eV per cell. For the density of states at the Fermi level, the calculation gives 18.020 states/eV/cell. The calculation puts the energy of formation from the pure elements at -223 kJ/mol of formula units.

It has space group R-3m (No. 166, hexagonal axes), with a = 4.9896 Å, b = 4.9896 Å, c = 27.2219 Å, α = 90.00°, β = 90.00° and γ = 120.00°. The inequivalent atoms are Pm at (0.0000, 0.0000, 0.1318), Sm at (0.0000, 0.0000, 0.0000), Cd at (0.0000, 0.0000, 0.4173) and Sn at (0.0000, 0.0000, 0.2684).

=====

[4]
Compound: CsEuBi2
Source: Alexandria via LeMat-Bulk
Functional: PBE-GGA
Structure: optimized geometry

The calculation puts the theoretical density at 6147 kg/m3. The total energy comes out at -60.36 eV per cell. For the density of states at the Fermi level, the calculation gives 16.755 states/eV/cell. The calculation puts the energy of formation from the pure elements at -119 kJ/mol of formula units.

It has space group R-3m (No. 166, hexagonal axes), with a = 5.2659 Å, b = 5.2659 Å, c = 23.7168 Å, α = 90.00°, β = 90.00° and γ = 120.00°. The inequivalent atoms are Cs at (0.0000, 0.0000, 0.0000), Eu at (0.0000, 0.0000, 0.5000) and Bi at (0.0000, 0.0000, 0.2177).

=====

[5]
Compound: La4BSBr2
Source: Alexandria via LeMat-Bulk
Functional: PBE-GGA
Structure: optimized geometry

The calculation puts the raw formation energy at -1.30 eV/atom. The calculation puts the theoretical density at 5668 kg/m3. The total energy comes out at -44.29 eV per cell. For the density of states at the Fermi level, the calculation gives 3.983 states/eV/cell.

It has space group P2/m (No. 10), with a = 7.186 Å, b = 4.134 Å, c = 7.852 Å, α = 90.00°, β = 107.74° and γ = 90.00°. The inequivalent atoms are La at (0.217, 0.000, 0.197), La at (0.249, 0.500, 0.798), B at (0.000, 0.500, 0.000), S at (0.500, 0.000, 0.000), Br at (0.000, 0.000, 0.500) and Br at (0.500, 0.500, 0.500).

=====

[6]
Compound: HgPb2F6
Source: Alexandria via LeMat-Bulk
Functional: PBE-GGA
Structure: optimized geometry

The calculation puts the raw formation energy at -2.05 eV/atom. The calculation puts the theoretical density at 6769 kg/m3. The total energy comes out at -74.76 eV per cell. For the density of states at the Fermi level, the calculation gives 0.000 states/eV/cell.

It has space group P4_2/mnm (No. 136), with a = 5.543 Å, b = 5.543 Å, c = 11.643 Å, α = 90.00°, β = 90.00° and γ = 90.00°. The inequivalent atoms are Hg at (0.000, 0.000, 0.000), Pb at (0.000, 0.000, 0.333), F at (0.186, 0.186, 0.164) and F at (0.207, 0.207, 0.500).

=====

[7]
Compound: LiFeP
Source: Alexandria via LeMat-Bulk
Functional: PBE-GGA
Structure: optimized geometry

The calculation puts the theoretical density at 4341 kg/m3. The total energy comes out at -16.63 eV per cell. For the density of states at the Fermi level, the calculation gives 2.086 states/eV/cell. The calculation puts the energy of formation from the pure elements at -81 kJ/mol of formula units.

It has space group P-6m2 (No. 187), with a = 3.7570 Å, b = 3.7570 Å, c = 2.9338 Å, α = 90.00°, β = 90.00° and γ = 120.00°. The inequivalent atoms are Li at (0.0000, 0.0000, 0.0000), Fe at (0.3333, 0.6667, 0.5000) and P at (0.6667, 0.3333, 0.5000).

=====

[8]
Compound: Hg2SbAu
Source: Alexandria via LeMat-Bulk
Functional: PBE-GGA
Structure: optimized geometry

The calculation puts the raw formation energy at 0.08 eV/atom. The calculation puts the theoretical density at 10550 kg/m3. The total energy comes out at -15.38 eV per cell. For the density of states at the Fermi level, the calculation gives 3.902 states/eV/cell.

It has space group C2/m (No. 12), with a = 14.749 Å, b = 3.674 Å, c = 4.230 Å, α = 90.00°, β = 98.62° and γ = 90.00°. The inequivalent atoms are Hg at (0.200, 0.000, 0.232), Sb at (0.000, 0.000, 0.000) and Au at (0.000, 0.500, 0.500).

=====

[9]
Compound: La2Sb4IrPt3
Source: Alexandria via LeMat-Bulk
Functional: PBE-GGA
Structure: optimized geometry

The calculation puts the raw formation energy at -0.82 eV/atom. The calculation puts the theoretical density at 11054 kg/m3. The total energy comes out at -61.49 eV per cell. For the density of states at the Fermi level, the calculation gives 5.421 states/eV/cell.

It has space group P-4m2 (No. 115), with a = 4.691 Å, b = 4.691 Å, c = 10.529 Å, α = 90.00°, β = 90.00° and γ = 90.00°. The inequivalent atoms are La at (0.000, 0.500, 0.236), Sb at (0.000, 0.000, 0.500), Sb at (0.000, 0.500, 0.874), Sb at (0.500, 0.500, 0.500), Ir at (0.500, 0.500, 0.000), Pt at (0.000, 0.000, 0.000) and Pt at (0.000, 0.500, 0.626).

=====

[10]
Compound: GdBiF
Source: Alexandria via LeMat-Bulk
Functional: PBE-GGA
Structure: optimized geometry

The calculation puts the raw formation energy at -1.82 eV/atom. The calculation puts the theoretical density at 9307 kg/m3. The total energy comes out at -50.61 eV per cell. For the density of states at the Fermi level, the calculation gives 6.086 states/eV/cell.

It has space group I4mm (No. 107), with a = 3.418 Å, b = 3.418 Å, c = 11.768 Å, α = 90.00°, β = 90.00° and γ = 90.00°. The inequivalent atoms are Gd at (0.000, 0.000, 0.000), Bi at (0.000, 0.000, 0.289) and F at (0.000, 0.000, 0.557).

=====

[11]
Compound: RhSe2N2
Source: Alexandria via LeMat-Bulk
Functional: PBE-GGA
Structure: optimized geometry

The calculation puts the raw formation energy at 1.63 eV/atom. The calculation puts the theoretical density at 4827 kg/m3. The total energy comes out at -22.84 eV per cell. For the density of states at the Fermi level, the calculation gives 5.431 states/eV/cell.

It has space group P4/mmm (No. 123), with a = 3.614 Å, b = 3.614 Å, c = 7.607 Å, α = 90.00°, β = 90.00° and γ = 90.00°. The inequivalent atoms are Rh at (0.000, 0.000, 0.000), Se at (0.500, 0.500, 0.000), Se at (0.500, 0.500, 0.500) and N at (0.000, 0.500, 0.500).

=====

[12]
Compound: KZn2Ni2
Source: Alexandria via LeMat-Bulk
Functional: PBE-GGA
Structure: optimized geometry

The calculation puts the theoretical density at 5945 kg/m3. The total energy comes out at -28.84 eV per cell. For the density of states at the Fermi level, the calculation gives 4.910 states/eV/cell. The calculation puts the energy of formation from the pure elements at 76 kJ/mol of formula units.

It has space group P4/mbm (No. 127), with a = 7.763 Å, b = 7.763 Å, c = 2.663 Å, α = 90.00°, β = 90.00° and γ = 90.00°. The inequivalent atoms are K at (0.000, 0.000, 0.000), Zn at (0.133, 0.367, 0.000) and Ni at (0.153, 0.653, 0.500).